Record 1
VASP calculation (PBE-GGA) on Cd2Hg2Cl7 after structural relaxation.

a b c (Å): 15.8463 7.2239 5.2755
angles (deg): 90.00 94.49 90.00
Space group C2/m (No. 12)
Symmetry-distinct sites (fractional):
Cd: 0.2137 0.0000 0.0807
Hg: 0.0000 0.3041 0.5000
Cl: 0.0000 0.5000 0.0000
Cl: 0.0666 0.0000 0.2661
Cl: 0.1778 0.2556 0.7393

Computed properties:
Uncorrected formation energy ... -0.703 eV/atom

Record 2
VASP calculation (PBE-GGA) on NpCo4Ge12 after structural relaxation.

a b c (Å): 8.3527 8.3527 8.3527
angles (deg): 90.00 90.00 90.00
Space group Im-3 (No. 204)
Symmetry-distinct sites (fractional):
Np: 0.0000 0.0000 0.0000
Co: 0.2500 0.2500 0.2500
Ge: 0.0000 0.3395 0.1621

Computed properties:
Formation energy ... -0.059 eV per atom

Record 3
VASP calculation (PBE-GGA) on ErTa2Co9 after structural relaxation.

a b c (Å): 4.7974 4.7974 23.3946
angles (deg): 90.00 90.00 120.00
Space group R-3m (No. 166, hexagonal axes)
Symmetry-distinct sites (fractional):
Er: 0.0000 0.0000 0.0000
Ta: 0.0000 0.0000 0.1408
Co: 0.0000 0.0000 0.3354
Co: 0.0000 0.0000 0.5000
Co: 0.0066 0.5033 0.9139

Computed properties:
Formation energy ... -0.179 eV per atom

Record 4
VASP calculation (PBE-GGA) on YCoSb2Rh after structural relaxation.

a b c (Å): 4.8956 4.8956 4.6811
angles (deg): 90.00 90.00 90.00
Space group P4/mmm (No. 123)
Symmetry-distinct sites (fractional):
Y: 0.0000 0.0000 0.0000
Co: 0.5000 0.5000 0.5000
Sb: 0.0000 0.5000 0.5000
Rh: 0.5000 0.5000 0.0000

Computed properties:
Uncorrected formation energy ... 0.036 eV/atom

Raw total energy per entry: -0.1543 -0.4227 -0.5780 -0.4261 Ry per atom